The following is a GGA-PBE calculation of a geometry-optimized NaNdZnAg structure, from the Alexandria database.

Cell lengths 5.1219, 5.1219, 5.1219 Å; angles 60.00, 60.00, 60.00 degrees
Atoms (fractional coordinates):
Nd  0.0000  0.0000  0.0000
Ag  0.2500  0.2500  0.2500
Zn  0.7500  0.7500  0.7500
Na  0.5000  0.5000  0.5000

Output
DOS at the Fermi energy ... 3.1 states/eV/f.u.
Theoretical density ... 6.0 g/cm3
Formation energy from the elements ... -106 meV/atom
Crystal system ... cubic



The following is a GGA-PBE calculation of a geometry-optimized Lu2Co12P7 structure, from the Alexandria database.

Cell lengths 8.9705, 8.9705, 3.5572 Å; angles 90.00, 90.00, 120.00 degrees
Each line ends with the local moment (μB).
Atoms (fractional coordinates):
Co  0.2837  0.8964  0.5000  0.22
Co  0.5119  0.0595  0.0000  0.31
Lu  0.3333  0.6667  0.0000  0.00
Co  0.0415  0.7692  0.0000  0.33
Co  0.5476  0.4881  0.0000  0.31
P  0.9598  0.2186  0.0000  0.00
Lu  0.0000  0.0000  0.5000  0.00
Co  0.4307  0.2302  0.5000  0.72
P  0.0710  0.6243  0.5000  0.00
Co  0.2308  0.2723  0.0000  0.33
P  0.5533  0.9290  0.5000  0.00
P  0.6667  0.3333  0.0000  -0.02
P  0.2588  0.0402  0.0000  0.00
Co  0.1036  0.3873  0.5000  0.22
Co  0.7277  0.9585  0.0000  0.33
P  0.3757  0.4467  0.5000  0.00
Co  0.7995  0.5693  0.5000  0.72
P  0.7814  0.7412  0.0000  0.00
Co  0.7698  0.2005  0.5000  0.72
Co  0.6127  0.7163  0.5000  0.22
Co  0.9405  0.4524  0.0000  0.31

Output
DOS at the Fermi energy ... 11.8 states/eV/f.u.
Theoretical density ... 8.5 g/cm3
Formation energy from the elements ... -809 meV/atom
Crystal system ... hexagonal